{
  "formula": "Tm3In4Sn2",
  "functional": "PBE",
  "state": "optimized geometry",
  "vol_a3_per_atom": 25.82,
  "ef_ev_per_atom": -0.33,
  "magnetic_moment_mub_per_cell": 0.0,
  "energy_ev_per_atom": -3.9313,
  "spacegroup": "No. 189",
  "cell": [[4.293, 0.000, 0.000], [0.000, 7.906, 0.000], [0.000, -3.953, 6.847]],
  "species": ["Tm", "Tm", "Tm", "In", "In", "In", "In", "Sn", "Sn"],
  "frac_coords": [[0.500, 0.000, 0.391], [0.500, 0.391, 0.000], [0.500, 0.609, 0.609], [0.500, 0.000, 0.000], [0.000, 0.265, 0.265], [0.000, 0.735, 0.000], [0.000, 0.000, 0.735], [0.000, 0.667, 0.333], [0.000, 0.333, 0.667]]
}